1.
This record from Alexandria via LeMat-Bulk describes an optimized crystal structure of TiIn2BiB. The functional is GGA-PBE.

Values from the calculation:
Symmetry: P4/mmm (123)
DFT total energy (eV per cell): -17.85
Density of states at the Fermi level (states/eV per atom): 0.7474

Structure (POSCAR):
```
TiIn2BiB
1.0
5.369 0.000 0.000
0.000 5.369 0.000
0.000 0.000 5.307
Ti In Bi B
1 2 1 1
Cartesian
0.000 0.000 0.000 Ti
0.000 2.684 0.000 In
2.684 0.000 0.000 In
0.000 0.000 2.653 Bi
2.684 2.684 2.653 B
```

=====

2.
This record from Alexandria via LeMat-Bulk describes an optimized crystal structure of BiB3Ir. The functional is GGA-PBE.

Values from the calculation:
Distance to the lowest polymorph of the same formula (kcal/mol of atoms): 0.00
Symmetry: Pm-3m (221)
Density of states at the Fermi level (states/eV per atom): 0.7490

Structure (POSCAR):
```
BiB3Ir
1.0
4.226 0.000 0.000
0.000 4.226 0.000
0.000 0.000 4.226
Bi B Ir
1 3 1
Cartesian
0.000 0.000 0.000 Bi
0.000 2.113 2.113 B
2.113 0.000 2.113 B
2.113 2.113 0.000 B
2.113 2.113 2.113 Ir
```

=====

3.
This record from Alexandria via LeMat-Bulk describes an optimized crystal structure of BiB2Ir. The functional is GGA-PBE.

Values from the calculation:
Symmetry: I-42d (122)
DFT total energy (eV per cell): -48.46
Density of states at the Fermi level (states/eV per atom): 0.1084

Structure (POSCAR):
```
BiB2Ir
1.0
-2.575 2.575 5.246
2.575 -2.575 5.246
2.575 2.575 -5.246
Bi B Ir
2 4 2
Cartesian
0.000 0.000 0.000 Bi
0.000 2.575 2.623 Bi
1.287 -0.857 3.935 B
1.718 1.287 1.312 B
1.287 3.432 -1.312 B
0.857 1.287 6.558 B
2.575 0.000 2.623 Ir
0.000 0.000 5.246 Ir
```

=====

Which of these has the lowest density of states at the Fermi level?
BiB2Ir

=====

The highest density of states at the Fermi level belongs to which entry?
BiB3Ir

=====

The highest density of states at the Fermi level belongs to which entry?
BiB3Ir

=====

Among the records above, which one has the highest density of states at the Fermi level?
BiB3Ir